First-principles (PBE) data for an optimized crystal structure of TaMnSe2S, as listed in Alexandria.

## Properties
E_form (uncorrected): -2.51 eV per formula unit

abc: 3.5597 4.7384 13.1083
angles: 90.00 90.00 90.00
Fractional coordinates of all 10 atoms:
Ta1 0.0000 0.0000 0.0000
Ta2 0.5000 0.5000 0.5000
Mn1 0.0000 0.5000 0.8310
Mn2 0.5000 0.0000 0.3310
Se1 0.0000 0.5000 0.3454
Se2 0.0000 0.5000 0.6422
Se3 0.5000 0.0000 0.1422
Se4 0.5000 0.0000 0.8454
S1 0.0000 0.5000 0.0075
S2 0.5000 0.0000 0.5075